<i>
Material: RbLi2V
Method: DFT, PBE
State: relaxed

The size of the total moment is 20.00 μB/cell.

```
data_RbLi2V
_chemical_formula_sum 'Rb4 Li8 V4'
_symmetry_space_group_name_H-M 'F m -3 m'
_symmetry_Int_Tables_number 225
_symmetry_space_group_name_Hall '-F 4 2 3'
_cell_length_a 7.8163
_cell_length_b 7.8163
_cell_length_c 7.8163
_cell_angle_alpha 90.00
_cell_angle_beta 90.00
_cell_angle_gamma 90.00
loop_
_atom_site_label
_atom_site_type_symbol
_atom_site_fract_x
_atom_site_fract_y
_atom_site_fract_z
Rb1 Rb 0.0000 0.0000 0.0000
Li1 Li 0.2500 0.2500 0.2500
V1 V 0.0000 0.0000 0.5000
```

***

<ii>
Material: RbLi2V
Method: DFT, PBE
State: relaxed

The size of the total moment is 18.14 μB/cell.

```
data_RbLi2V
_chemical_formula_sum 'Rb4 Li8 V4'
_symmetry_space_group_name_H-M 'I -4 2 d'
_symmetry_Int_Tables_number 122
_symmetry_space_group_name_Hall 'I -4 2bw'
_cell_length_a 8.5549
_cell_length_b 8.5549
_cell_length_c 6.9901
_cell_angle_alpha 90.00
_cell_angle_beta 90.00
_cell_angle_gamma 90.00
loop_
_atom_site_label
_atom_site_type_symbol
_atom_site_fract_x
_atom_site_fract_y
_atom_site_fract_z
Rb1 Rb 0.0000 0.0000 0.0000
Li1 Li 0.1942 0.2500 0.6250
V1 V 0.0000 0.0000 0.5000
```

***

<i> wins, 3.9 kJ/mol of atoms ahead of the next structure.